! PuPaC PBE relaxed; values from VASP
&SYSTEM
  ibrav = 0, nat = 3, ntyp = 3
/
ATOMIC_SPECIES
Pu 244.00 Pu.upf
C 12.01 C.upf
Pa 231.04 Pa.upf
CELL_PARAMETERS angstrom
-2.724 1.830 -2.669
-1.089 -1.962 -3.586
-3.900 -1.574 -0.450
ATOMIC_POSITIONS crystal
Pu 0.500 0.500 0.500
C 0.250 0.250 0.250
Pa 0.000 0.000 0.000
! Energy of formation from the pure elements: 0.2334 eV per atom
! Space group: F-43m
! Energy relative to the lowest polymorph listed for this composition: 0.398 eV/atom
! Uncorrected energy: -10.78 eV/atom
! M_tot: 5.49 μB per cell